Entry 1:
Density functional theory data (GGA-PBE) for an optimized crystal structure of Ti6Ga10Ir.

a b c (Å): 5.3451 7.7110 7.7110
angles (deg): 120.00 90.00 90.00
Fractional positions:
Ga 0.0000 0.3333 0.6667
Ga 0.1931 0.2546 0.2546
Ga 0.5000 0.3333 0.6667
Ga 0.1931 0.7454 0.0000
Ga 0.1931 0.0000 0.7454
Ga 0.5000 0.6667 0.3333
Ga 0.0000 0.6667 0.3333
Ga 0.8069 0.2546 0.0000
Ga 0.8069 0.0000 0.2546
Ga 0.8069 0.7454 0.7454
Ti 0.7134 0.3861 0.3861
Ti 0.2866 0.6139 0.6139
Ti 0.7134 0.0000 0.6139
Ti 0.7134 0.6139 0.0000
Ti 0.2866 0.3861 0.0000
Ti 0.2866 0.0000 0.3861
Ir 0.5000 0.0000 0.0000

* Fermi-level density of states: 0.771 states/eV per atom
* total magnetic moment: 0.000 μB/cell
* final energy: -91.930 eV per formula unit
* SG: No. 162

***

Entry 2:
Density functional theory data (GGA-PBE) for an optimized crystal structure of Co2Si2Ni.

a b c (Å): 6.5302 6.5302 2.6087
angles (deg): 90.00 90.00 90.00
Fractional positions:
Si 0.3469 0.8469 0.0000
Si 0.8469 0.6531 0.0000
Si 0.1531 0.3469 0.0000
Si 0.6531 0.1531 0.0000
Co 0.6438 0.8562 0.5000
Co 0.3562 0.1438 0.5000
Co 0.8562 0.3562 0.5000
Co 0.1438 0.6438 0.5000
Ni 0.5000 0.5000 0.0000
Ni 0.0000 0.0000 0.0000

* formation energy (no corrections): -45.2 kJ/mol of atoms
* Fermi-level density of states: 0.634 states/eV per atom
* total magnetic moment: 0.000 μB/cell
* SG: No. 127

***

Entry 3:
Density functional theory data (GGA-PBE) for an optimized crystal structure of Sr2LaCl.

a b c (Å): 11.0827 11.0827 11.0827
angles (deg): 20.94 20.94 20.94
Fractional positions:
Sr 0.9848 0.9848 0.9848
Sr 0.5152 0.5152 0.5152
La 0.7500 0.7500 0.7500
Cl 0.2500 0.2500 0.2500

* formation energy (no corrections): -77.1 kJ/mol of atoms
* Fermi-level density of states: 1.030 states/eV per atom
* offset from the most stable computed form: 0.00 kJ/mol of atoms
* total magnetic moment: 0.003 μB/cell
* SG: No. 166

***

Entry 4:
Density functional theory data (GGA-PBE) for an optimized crystal structure of ZrBeOs2.

a b c (Å): 4.6415 4.6415 4.8049
angles (deg): 70.32 70.32 37.91
Fractional positions:
Os 0.5267 0.5267 0.4537
Os 0.9733 0.9733 0.0463
Zr 0.7500 0.7500 0.7500
Be 0.2500 0.2500 0.2500

* Fermi-level density of states: 0.747 states/eV per atom
* total magnetic moment: 0.000 μB/cell
* final energy: -35.041 eV per formula unit
* SG: No. 12

***

Entry 5:
Density functional theory data (GGA-PBE) for an optimized crystal structure of CePm3Bi2.

a b c (Å): 4.9577 8.8017 9.7658
angles (deg): 116.78 104.70 90.00
Last column: magnetic moment on the atom in μB.
Fractional positions:
Pm 0.8252 0.5752 0.6504  -0.01
Pm 0.1748 0.4248 0.3496  -0.01
Pm 0.5000 0.7500 0.0000  0.10
Pm 0.5000 0.2500 0.0000  0.10
Pm 0.8252 0.0752 0.6504  -0.01
Pm 0.1748 0.9248 0.3496  -0.01
Bi 0.6510 0.6510 0.3020  -0.01
Bi 0.3490 0.8490 0.6980  -0.01
Bi 0.6510 0.1510 0.3020  -0.01
Bi 0.3490 0.3490 0.6980  -0.01
Ce 0.0000 0.5000 0.0000  0.54
Ce 0.0000 0.0000 0.0000  0.54

* Fermi-level density of states: 1.407 states/eV per atom
* offset from the most stable computed form: 3.70 kJ/mol of atoms
* total magnetic moment: 1.550 μB/cell
* SG: No. 65

***

Entry 6:
Density functional theory data (GGA-PBE) for an optimized crystal structure of PrYTmPu.

a b c (Å): 5.6480 5.6480 5.6480
angles (deg): 60.00 60.00 60.00
Last column: magnetic moment on the atom in μB.
Fractional positions:
Pr 0.2500 0.2500 0.2500  -0.02
Pu 0.7500 0.7500 0.7500  5.52
Tm 0.5000 0.5000 0.5000  0.13
Y 0.0000 0.0000 0.0000  0.11

* Fermi-level density of states: 2.979 states/eV per atom
* total magnetic moment: 6.211 μB/cell
* final energy: -29.207 eV per formula unit
* SG: No. 216

***

Entry 7:
Density functional theory data (GGA-PBE) for an optimized crystal structure of CrFe2Ru.

a b c (Å): 2.8960 2.8960 5.8421
angles (deg): 90.00 90.00 90.00
Last column: magnetic moment on the atom in μB.
Fractional positions:
Fe 0.0000 0.0000 0.0008  2.09
Fe 0.5000 0.5000 0.2293  2.65
Ru 0.0000 0.0000 0.5077  0.24
Cr 0.5000 0.5000 0.7621  -0.16

* Fermi-level density of states: 1.050 states/eV per atom
* total magnetic moment: 4.794 μB/cell
* final energy: -35.468 eV per formula unit
* SG: No. 99

***

Entry 8:
Density functional theory data (GGA-PBE) for an optimized crystal structure of ZrHgTe4.

a b c (Å): 6.3213 6.3213 6.3213
angles (deg): 60.00 60.00 60.00
Last column: magnetic moment on the atom in μB.
Fractional positions:
Te 0.3757 0.3757 0.3757  -0.01
Te 0.8728 0.3757 0.3757  -0.01
Te 0.3757 0.8728 0.3757  -0.01
Te 0.3757 0.3757 0.8728  -0.01
Zr 0.7500 0.7500 0.7500  1.25
Hg 0.0000 0.0000 0.0000  0.01

* formation energy (no corrections): 44.1 kJ/mol of atoms
* Fermi-level density of states: 0.922 states/eV per atom
* offset from the most stable computed form: 84.64 kJ/mol of atoms
* total magnetic moment: 1.968 μB/cell
* SG: No. 216

***

Entry 9:
Density functional theory data (GGA-PBE) for an optimized crystal structure of VSnCl2.

a b c (Å): 9.7964 9.7964 9.7964
angles (deg): 19.61 19.61 19.61
Last column: magnetic moment on the atom in μB.
Fractional positions:
Sn 0.5000 0.5000 0.5000  0.00
Cl 0.0780 0.0780 0.0780  -0.03
Cl 0.9220 0.9220 0.9220  -0.03
V 0.0000 0.0000 0.0000  2.08

* formation energy (no corrections): -20.7 kJ/mol of atoms
* Fermi-level density of states: 0.730 states/eV per atom
* offset from the most stable computed form: 41.10 kJ/mol of atoms
* total magnetic moment: 2.480 μB/cell
* SG: No. 166

***

Fermi-level density of states of number 3 (Sr2LaCl)? 1.030 states/eV per atom